First-principles (PBE) data for a geometry-optimized LiRe2Cl structure, as listed in Alexandria via LeMat-Bulk.

Computed properties:
D(E_F) in states/eV/atom: 0.84
Space group: Cmmm (65)
Raw formation energy in eV per atom: 0.997
Crystal system: orthorhombic
Calculated volume in A^3/atom: 16.8
Distance to the lowest polymorph of the same formula in eV per atom: 1.048

Geometry as extended XYZ:
```
4
Lattice="-5.4159 -0.9693 -1.3879 2.9547 -1.9747 4.4236 -0.7510 2.1216 1.4487" Properties=species:S:1:pos:R:3 pbc="T T T"
Cl -3.0834 0.5761 0.0304
Re 0.0000 0.0000 0.0000
Re -1.2306 -1.4720 1.5178
Li 1.1019 0.0734 2.9361
```